Material: MnFeAg2
Method: DFT, PBE-GGA
State: relaxed

**Polymorph energy (0 for the lowest one)**: 103 meV per atom
**Density**: 8.7 g/cm³
**Space-group type**: No. 8
**V**: 15.61 A^3/atom
**Energy relative to the elements**: 139 kJ/mol of formula units

Cell and atoms, written as POSCAR:
```
MnFeAg2
1.0
4.6612 -1.3915 0.0000
4.6612 1.3915 0.0000
-1.0695 0.0000 4.8125
Mn Fe Ag
1 1 2
direct
0.0000 0.0000 0.0000
0.7269 0.7269 0.2439
0.2435 0.2435 0.7573
0.4806 0.4806 0.4816
```


Material: NbHgSb
Method: DFT, PBE-GGA
State: relaxed

**Density**: 8.6 g/cm³
**Space-group type**: No. 129
**ΔE_f (raw)**: -0.107 eV/atom
**V**: 26.74 A^3/atom

Cell and atoms, written as POSCAR:
```
NbHgSb
1.0
3.5191 0.0000 0.0000
0.0000 3.5191 0.0000
0.0000 0.0000 12.9535
Nb Hg Sb
2 2 2
direct
0.2500 0.2500 0.0580
0.7500 0.7500 0.9420
0.2500 0.2500 0.5806
0.7500 0.7500 0.4194
0.2500 0.2500 0.8244
0.7500 0.7500 0.1756
```


Material: Li8MgGa4
Method: DFT, PBE-GGA
State: relaxed

**Density**: 2.6 g/cm³
**Space-group type**: No. 139
**V**: 17.31 A^3/atom
**Energy relative to the elements**: -253 kJ/mol of formula units

Cell and atoms, written as POSCAR:
```
Li8MgGa4
1.0
-4.5907 4.5907 2.6691
4.5907 -4.5907 2.6691
4.5907 4.5907 -2.6691
Li Mg Ga
8 1 4
direct
0.0000 0.2134 0.2134
0.0000 0.7866 0.7866
0.1609 0.5000 0.6609
0.2134 0.0000 0.2134
0.5000 0.1609 0.6609
0.5000 0.8391 0.3391
0.7866 0.0000 0.7866
0.8391 0.5000 0.3391
0.5000 0.5000 0.0000
0.0000 0.0000 0.5000
0.0000 0.5000 0.0000
0.5000 0.0000 0.0000
0.5000 0.5000 0.5000
```


Material: CaGaAg2
Method: DFT, PBE-GGA
State: relaxed

**Density**: 5.3 g/cm³
**Space-group type**: No. 122
**V**: 25.34 A^3/atom
**Energy relative to the elements**: -7 kJ/mol of formula units

Cell and atoms, written as POSCAR:
```
CaGaAg2
1.0
-2.3573 2.3573 9.1219
2.3573 -2.3573 9.1219
2.3573 2.3573 -9.1219
Ca Ga Ag
2 2 4
direct
0.0000 0.0000 0.0000
0.7500 0.2500 0.5000
0.2500 0.7500 0.5000
0.5000 0.5000 0.0000
0.2263 0.6250 0.1013
0.3750 0.4763 0.6013
0.5237 0.1250 0.8987
0.8750 0.7737 0.3987
```


Material: Bi3PdO
Method: DFT, PBE-GGA
State: relaxed

**Polymorph energy (0 for the lowest one)**: 819 meV per atom
**Density**: 8.2 g/cm³
**Space-group type**: No. 221
**ΔE_f (raw)**: 0.717 eV/atom
**V**: 30.34 A^3/atom

Cell and atoms, written as POSCAR:
```
Bi3PdO
1.0
5.3336 0.0000 0.0000
0.0000 5.3336 0.0000
0.0000 0.0000 5.3336
Bi Pd O
3 1 1
direct
0.0000 0.0000 0.5000
0.0000 0.5000 0.0000
0.5000 0.0000 0.0000
0.0000 0.0000 0.0000
0.5000 0.5000 0.5000
```


Material: Na3V2CrSe6
Method: DFT, PBE-GGA
State: relaxed

**Density**: 4.6 g/cm³
**Space-group type**: No. 12
**ΔE_f (raw)**: -0.847 eV/atom
**V**: 21.15 A^3/atom

Cell and atoms, written as POSCAR:
```
Na3V2CrSe6
1.0
3.3043 -5.5980 0.0000
3.3043 5.5980 0.0000
-2.1494 0.0000 6.8615
Na V Cr Se
3 2 1 6
direct
0.0000 0.0000 0.0000
0.3262 0.6738 0.0000
0.6738 0.3262 0.0000
0.1528 0.8472 0.5000
0.8472 0.1528 0.5000
0.5000 0.5000 0.5000
0.1038 0.4383 0.3019
0.2449 0.2449 0.7124
0.4383 0.1038 0.3019
0.5617 0.8962 0.6981
0.7551 0.7551 0.2876
0.8962 0.5617 0.6981
```


Material: Ni2MoHRu
Method: DFT, PBE-GGA
State: relaxed

**Polymorph energy (0 for the lowest one)**: 8 meV per atom
**Density**: 9.8 g/cm³
**Space-group type**: No. 123
**V**: 10.70 A^3/atom

Cell and atoms, written as POSCAR:
```
Ni2MoHRu
1.0
3.6904 0.0000 0.0000
0.0000 3.6904 0.0000
0.0000 0.0000 3.9293
Ni Mo H Ru
2 1 1 1
direct
0.0000 0.5000 0.0000
0.5000 0.0000 0.0000
0.0000 0.0000 0.5000
0.5000 0.5000 0.0000
0.5000 0.5000 0.5000
```


Material: Cs2RbNa2
Method: DFT, PBE-GGA
State: relaxed

**Polymorph energy (0 for the lowest one)**: 72 meV per atom
**Density**: 1.6 g/cm³
**Space-group type**: No. 139
**V**: 81.83 A^3/atom
**Energy relative to the elements**: 44 kJ/mol of formula units

Cell and atoms, written as POSCAR:
```
Cs2RbNa2
1.0
-3.3307 3.3307 9.2204
3.3307 -3.3307 9.2204
3.3307 3.3307 -9.2204
Cs Rb Na
2 1 2
direct
0.2500 0.7500 0.5000
0.7500 0.2500 0.5000
0.0000 0.0000 0.0000
0.4095 0.4095 0.0000
0.5905 0.5905 0.0000
```


Material: CdIrOs2
Method: DFT, PBE-GGA
State: relaxed

**Density**: 18.3 g/cm³
**Space-group type**: No. 65
**V**: 15.55 A^3/atom
**Energy relative to the elements**: 235 kJ/mol of formula units

Cell and atoms, written as POSCAR:
```
CdIrOs2
1.0
2.7126 -4.1705 0.0000
2.7126 4.1705 0.0000
0.0000 0.0000 2.7484
Cd Ir Os
1 1 2
direct
0.0000 0.0000 0.0000
0.5000 0.5000 0.0000
0.0000 0.5000 0.5000
0.5000 0.0000 0.5000
```


Material: LiPr2Zn3
Method: DFT, PBE-GGA
State: relaxed

**Density**: 6.0 g/cm³
**Space-group type**: No. 69
**V**: 22.29 A^3/atom
**Energy relative to the elements**: -139 kJ/mol of formula units

Cell and atoms, written as POSCAR:
```
LiPr2Zn3
1.0
0.0000 4.7673 8.2131
3.4162 0.0000 8.2131
3.4162 4.7673 0.0000
Li Pr Zn
2 4 6
direct
0.1670 0.1670 0.8330
0.8330 0.8330 0.1670
0.2500 0.2500 0.2500
0.2513 0.7487 0.7487
0.7487 0.2513 0.2513
0.7500 0.7500 0.7500
0.1680 0.6661 0.3339
0.3340 0.3340 0.6660
0.3339 0.8320 0.1680
0.6661 0.1680 0.8320
0.6660 0.6660 0.3340
0.8320 0.3339 0.6661
```


Material: PaSbS4Cl
Method: DFT, PBE-GGA
State: relaxed

**Density**: 3.2 g/cm³
**Space-group type**: No. 12
**ΔE_f (raw)**: -0.917 eV/atom
**V**: 38.37 A^3/atom

Cell and atoms, written as POSCAR:
```
PaSbS4Cl
1.0
8.6802 -4.4728 0.0000
8.6802 4.4728 0.0000
-2.5109 0.0000 6.9188
Pa Sb S Cl
2 2 8 2
direct
0.2260 0.2260 0.1018
0.7740 0.7740 0.8982
0.2965 0.2965 0.6205
0.7035 0.7035 0.3795
0.0951 0.4718 0.8784
0.1616 0.1616 0.3812
0.3686 0.3686 0.3849
0.4718 0.0951 0.8784
0.5282 0.9049 0.1216
0.6314 0.6314 0.6151
0.8384 0.8384 0.6188
0.9049 0.5282 0.1216
0.0828 0.0828 0.8605
0.9172 0.9172 0.1395
```


Material: SrIn2Ni2
Method: DFT, PBE-GGA
State: relaxed

**Density**: 6.7 g/cm³
**Space-group type**: No. 139
**V**: 21.42 A^3/atom
**Energy relative to the elements**: -95 kJ/mol of formula units

Cell and atoms, written as POSCAR:
```
SrIn2Ni2
1.0
-2.2216 2.2216 5.4256
2.2216 -2.2216 5.4256
2.2216 2.2216 -5.4256
Sr In Ni
1 2 2
direct
0.0000 0.0000 0.0000
0.2500 0.7500 0.5000
0.7500 0.2500 0.5000
0.3912 0.3912 0.0000
0.6088 0.6088 0.0000
```


Material: CoSb3Os
Method: DFT, PBE-GGA
State: relaxed

**Polymorph energy (0 for the lowest one)**: 0 meV per atom
**Density**: 9.3 g/cm³
**Space-group type**: No. 221
**ΔE_f (raw)**: 1.026 eV/atom
**V**: 21.88 A^3/atom

Cell and atoms, written as POSCAR:
```
CoSb3Os
1.0
4.7826 0.0000 0.0000
0.0000 4.7826 0.0000
0.0000 0.0000 4.7826
Co Sb Os
1 3 1
direct
0.0000 0.0000 0.0000
0.0000 0.0000 0.5000
0.0000 0.5000 0.0000
0.5000 0.0000 0.0000
0.5000 0.5000 0.5000
```